! RhBrO2 (PBE, relaxed); values from VASP
&SYSTEM
  ibrav = 0, nat = 16, ntyp = 3
/
ATOMIC_SPECIES
Rh 102.91 Rh.upf
Br 79.90 Br.upf
O 16.00 O.upf
CELL_PARAMETERS angstrom
6.016 0.000 0.000
0.000 6.016 0.000
0.000 0.000 8.256
ATOMIC_POSITIONS crystal
Rh 0.000 0.000 0.000
Rh 0.000 0.500 0.250
Rh 0.500 0.000 0.750
Rh 0.500 0.500 0.500
Br 0.000 0.000 0.500
Br 0.000 0.500 0.750
Br 0.500 0.000 0.250
Br 0.500 0.500 0.000
O 0.081 0.250 0.125
O 0.250 0.581 0.375
O 0.250 0.919 0.875
O 0.419 0.250 0.625
O 0.581 0.750 0.625
O 0.750 0.081 0.875
O 0.750 0.419 0.375
O 0.919 0.750 0.125
! - ΔE_f (raw) (meV/atom) = 45
! - DOS at the Fermi energy (states/eV/cell) = 24.45
! - calculated total energy (eV/atom) = -4.690

! RhBr3O (PBE, relaxed); values from VASP
&SYSTEM
  ibrav = 0, nat = 5, ntyp = 3
/
ATOMIC_SPECIES
Rh 102.91 Rh.upf
Br 79.90 Br.upf
O 16.00 O.upf
CELL_PARAMETERS angstrom
4.724 0.000 0.000
0.000 4.724 0.000
0.000 0.000 4.724
ATOMIC_POSITIONS crystal
Rh 0.000 0.000 0.000
Br 0.000 0.500 0.500
Br 0.500 0.000 0.500
Br 0.500 0.500 0.000
O 0.500 0.500 0.500
! - ΔE_f (raw) (meV/atom) = 949
! - DOS at the Fermi energy (states/eV/cell) = 7.19
! - distance to the lowest polymorph of the same formula (eV/atom) = 0.3509
! - calculated total energy (eV/atom) = -2.516

! RhBrO3 (PBE, relaxed); values from VASP
&SYSTEM
  ibrav = 0, nat = 5, ntyp = 3
/
ATOMIC_SPECIES
Rh 102.91 Rh.upf
Br 79.90 Br.upf
O 16.00 O.upf
CELL_PARAMETERS angstrom
3.908 0.000 0.000
0.000 3.908 0.000
0.000 0.000 3.908
ATOMIC_POSITIONS crystal
Rh 0.000 0.000 0.000
Br 0.500 0.500 0.500
O 0.000 0.000 0.500
O 0.000 0.500 0.000
O 0.500 0.000 0.000
! - ΔE_f (raw) (meV/atom) = 185
! - DOS at the Fermi energy (states/eV/cell) = 6.08
! - calculated total energy (eV/atom) = -4.595

! RhBr3O (PBE, relaxed); values from VASP
&SYSTEM
  ibrav = 0, nat = 5, ntyp = 3
/
ATOMIC_SPECIES
Rh 102.91 Rh.upf
Br 79.90 Br.upf
O 16.00 O.upf
CELL_PARAMETERS angstrom
5.059 0.000 0.000
0.000 5.059 0.000
0.000 0.000 5.059
ATOMIC_POSITIONS crystal
Rh 0.000 0.000 0.000
Br 0.000 0.000 0.500
Br 0.000 0.500 0.000
Br 0.500 0.000 0.000
O 0.500 0.500 0.500
! - ΔE_f (raw) (meV/atom) = 598
! - DOS at the Fermi energy (states/eV/cell) = 6.25
! - distance to the lowest polymorph of the same formula (eV/atom) = 0.0000
! - calculated total energy (eV/atom) = -2.867

! RhBr2O (PBE, relaxed); values from VASP
&SYSTEM
  ibrav = 0, nat = 16, ntyp = 3
/
ATOMIC_SPECIES
Rh 102.91 Rh.upf
Br 79.90 Br.upf
O 16.00 O.upf
CELL_PARAMETERS angstrom
6.311 0.000 0.000
0.000 6.311 0.000
0.000 0.000 6.311
ATOMIC_POSITIONS crystal
Rh 0.000 0.000 0.000
Rh 0.000 0.500 0.500
Rh 0.500 0.000 0.500
Rh 0.500 0.500 0.000
Br 0.250 0.250 0.250
Br 0.250 0.250 0.750
Br 0.250 0.750 0.250
Br 0.250 0.750 0.750
Br 0.750 0.250 0.250
Br 0.750 0.250 0.750
Br 0.750 0.750 0.250
Br 0.750 0.750 0.750
O 0.000 0.000 0.500
O 0.000 0.500 0.000
O 0.500 0.000 0.000
O 0.500 0.500 0.500
! - ΔE_f (raw) (meV/atom) = 797
! - DOS at the Fermi energy (states/eV/cell) = 18.86
! - calculated total energy (eV/atom) = -3.117

! RhBrO3 (PBE, relaxed); values from VASP
&SYSTEM
  ibrav = 0, nat = 5, ntyp = 3
/
ATOMIC_SPECIES
Rh 102.91 Rh.upf
Br 79.90 Br.upf
O 16.00 O.upf
CELL_PARAMETERS angstrom
3.957 0.000 0.000
0.000 3.957 0.000
0.000 0.000 3.957
ATOMIC_POSITIONS crystal
Rh 0.000 0.000 0.000
Br 0.500 0.500 0.500
O 0.000 0.500 0.500
O 0.500 0.000 0.500
O 0.500 0.500 0.000
! - ΔE_f (raw) (meV/atom) = 1038
! - DOS at the Fermi energy (states/eV/cell) = 5.49
! - calculated total energy (eV/atom) = -3.742